--- i ---
Below is a relaxed structure of HfTc2Ru2, with properties calculated at the PBE level.

- Crystal system: tetragonal

```
HfTc2Ru2
1.0
7.5351 0.0000 0.0000
0.0000 7.5351 0.0000
0.0000 0.0000 2.7915
Hf Tc Ru
2 4 4
direct
0.0000 0.0000 0.0000
0.5000 0.5000 0.0000
0.8280 0.3280 0.5000
0.1720 0.6720 0.5000
0.6720 0.8280 0.5000
0.3280 0.1720 0.5000
0.8762 0.6238 0.0000
0.1238 0.3762 0.0000
0.6238 0.1238 0.0000
0.3762 0.8762 0.0000
```

---

--- ii ---
Below is a relaxed structure of HfTc2Ru2, with properties calculated at the PBE level.

- Crystal system: tetragonal

```
HfTc2Ru2
1.0
4.0228 0.0000 0.0000
0.0000 4.0228 0.0000
2.0114 2.0114 5.3252
Ru Tc Hf
2 2 1
direct
0.2500 0.7500 0.5000
0.7500 0.2500 0.5000
0.3926 0.3926 0.2148
0.6074 0.6074 0.7852
0.0000 0.0000 0.0000
```

---

--- iii ---
Below is a relaxed structure of HfTc2Ru2, with properties calculated at the PBE level.

- Crystal system: tetragonal

```
HfTc2Ru2
1.0
7.5205 0.0000 0.0000
0.0000 7.5205 0.0000
0.0000 0.0000 2.8069
Tc Ru Hf
4 4 2
direct
0.8783 0.6217 0.0000
0.3783 0.8783 0.0000
0.1217 0.3783 0.0000
0.6217 0.1217 0.0000
0.8270 0.3270 0.5000
0.3270 0.1730 0.5000
0.1730 0.6730 0.5000
0.6730 0.8270 0.5000
0.5000 0.5000 0.0000
0.0000 0.0000 0.0000
```

---

Which of them is most stable? Easy: i.